Entry 1:
KGa3Os | Alexandria | GGA-PBE | optimized geometry; ΔE_f = 0.229 eV per atom; total energy = -4.052 eV/atom; relative energy among the computed polymorphs = 468 meV/atom; magnetization = 0.00 μB/cell
1.0
-5.0316 8.5178 4.3592
0.5200 -9.6583 -4.8291
0.1020 -2.3191 4.6493
K Os Ga
2 2 6
Direct
0.2056 0.7944 0.2500
0.7944 0.2056 0.7500
0.4828 0.5172 0.2500
0.5172 0.4828 0.7500
0.6245 0.8700 0.2500
0.1300 0.3755 0.2500
0.8700 0.6245 0.7500
0.3755 0.1300 0.7500
0.0000 0.0000 0.0000
0.0000 0.0000 0.5000



Entry 2:
KGa3Os | Alexandria | GGA-PBE | optimized geometry; ΔE_f = 0.032 eV per atom; total energy = -4.249 eV/atom; relative energy among the computed polymorphs = 271 meV/atom; magnetization = 0.00 μB/cell
1.0
3.8860 0.0000 5.4683
-1.9430 3.3653 5.4683
-1.9430 -3.3653 5.4683
K Os Ga
2 2 6
Direct
0.0913 0.0913 0.0913
0.9087 0.9087 0.9087
0.3036 0.3036 0.3036
0.6964 0.6964 0.6964
0.5674 0.1427 0.5674
0.1427 0.5674 0.5674
0.4326 0.4326 0.8572
0.8572 0.4326 0.4326
0.4326 0.8572 0.4326
0.5674 0.5674 0.1427



Entry 3:
KGa3Os | Alexandria | GGA-PBE | optimized geometry; ΔE_f = -0.239 eV per atom; total energy = -4.521 eV/atom; relative energy among the computed polymorphs = 0 meV/atom; magnetization = 0.00 μB/cell
1.0
-0.5770 -3.8276 -2.9856
-1.5426 -2.7062 3.7675
-4.6027 1.3868 -0.8884
K Os Ga
1 1 3
Direct
0.5000 0.5000 0.5000
0.0000 0.0000 0.0000
0.0000 0.5000 0.0000
0.0000 0.0000 0.5000
0.5000 0.0000 0.0000



Entry 4:
KGa3Os | Alexandria | GGA-PBE | optimized geometry; ΔE_f = -0.009 eV per atom; total energy = -4.291 eV/atom; relative energy among the computed polymorphs = 230 meV/atom; magnetization = 0.00 μB/cell
1.0
4.8602 0.0056 0.0009
4.8401 12.1991 -0.0416
-2.4305 -0.5351 4.3217
K Os Ga
2 2 6
Direct
0.7022 0.1887 0.7035
0.6021 0.9175 0.9595
0.9672 0.6337 0.1232
0.5981 0.4745 0.0672
0.0351 0.7831 0.5573
0.1364 0.4100 0.0145
0.3994 0.6980 0.1162
0.5304 0.5540 0.5905
0.9125 0.3254 0.3970
0.0302 0.5542 0.5905



Entry 5:
KGa3Os | Alexandria | GGA-PBE | optimized geometry; ΔE_f = 0.094 eV per atom; total energy = -4.188 eV/atom; relative energy among the computed polymorphs = 333 meV/atom; magnetization = 0.00 μB/cell
1.0
-7.1644 11.7102 -9.4118
-5.1893 1.5800 -4.4977
0.8086 -2.6764 6.4682
K Os Ga
2 2 6
Direct
0.6269 0.0383 0.9617
0.3731 0.9617 0.0383
0.9373 0.9078 0.0922
0.0627 0.0922 0.9078
0.8402 0.2067 0.7933
0.1598 0.7933 0.2067
0.9130 0.4370 0.5630
0.0870 0.5630 0.4370
0.3827 0.6990 0.3010
0.6173 0.3010 0.6990



Entry 6:
KGa3Os | Alexandria | GGA-PBE | optimized geometry; ΔE_f = 0.073 eV per atom; total energy = -4.209 eV/atom; relative energy among the computed polymorphs = 312 meV/atom; magnetization = 0.00 μB/cell
1.0
-13.0711 4.9387 -6.0664
-7.9797 -3.0673 -2.1067
2.9736 -3.6025 7.4634
K Os Ga
4 4 12
Direct
0.5392 0.0505 0.7380
0.9608 0.2380 0.5505
0.4608 0.9495 0.2620
0.0392 0.7620 0.4495
0.7500 0.0833 0.5833
0.2500 0.9167 0.4167
0.7500 0.4217 0.9217
0.2500 0.5783 0.0783
0.4674 0.4206 0.5458
0.0326 0.0458 0.9206
0.5326 0.5794 0.4542
0.9674 0.9542 0.0794
0.0035 0.3710 0.0577
0.4965 0.5577 0.8710
0.9965 0.6290 0.9423
0.5035 0.4423 0.1290
0.0093 0.3832 0.3657
0.4907 0.8657 0.8832
0.9907 0.6168 0.6343
0.5093 0.1343 0.1168



Entry 7:
KGa3Os | Alexandria | GGA-PBE | optimized geometry; ΔE_f = 2.168 eV per atom; total energy = -2.114 eV/atom; relative energy among the computed polymorphs = 2407 meV/atom; magnetization = 2.19 μB/cell
1.0
-2.3285 -3.4915 3.2806
2.8682 -3.9376 -2.1550
3.8375 0.8244 3.6012
K Os Ga
1 1 3
Direct
0.0000 0.0000 0.0000
0.5000 0.5000 0.5000
0.0000 0.5000 0.0000
0.0000 0.0000 0.5000
0.5000 0.0000 0.0000



Entry 8:
KGa3Os | Alexandria | GGA-PBE | optimized geometry; ΔE_f = -0.023 eV per atom; total energy = -4.305 eV/atom; relative energy among the computed polymorphs = 216 meV/atom; magnetization = 0.00 μB/cell
1.0
-4.4686 1.0214 -2.2174
4.1292 -4.5313 -7.9273
-3.7461 -3.3816 0.6763
K Os Ga
2 2 6
Direct
0.6504 0.1570 0.9212
0.2590 0.9510 0.5299
0.7049 0.5539 0.4752
0.2042 0.5539 0.9759
0.5692 0.7774 0.8401
0.2116 0.5994 0.4823
0.6978 0.5086 0.9686
0.8970 0.7759 0.1677
0.0129 0.3319 0.2830
0.3401 0.3303 0.6111